FeCo2Au: relaxed, PBE-GGA.

**SG**: I4/mmm, No. 139
**VASP energy**: -6.339 eV per atom
**Energy relative to the lowest polymorph listed for this composition**: 42 meV per atom

Cell lengths 4.513, 4.513, 4.513 Å; angles 130.63, 130.63, 72.39 degrees
Fractional coordinates of all 4 atoms:
Fe  0.000  0.000  0.000
Co  0.250  0.750  0.500
Co  0.750  0.250  0.500
Au  0.500  0.500  0.000

FeCo2Au: relaxed, PBE-GGA.

**SG**: Cmmm, No. 65
**VASP energy**: -6.278 eV per atom
**Energy relative to the lowest polymorph listed for this composition**: 103 meV per atom

Cell lengths 2.627, 2.627, 8.211 Å; angles 90.00, 90.00, 108.95 degrees
Fractional coordinates of all 4 atoms:
Fe  0.000  0.000  0.000
Co  0.500  0.500  0.226
Co  0.500  0.500  0.774
Au  0.000  0.000  0.500

FeCoAu2: relaxed, PBE-GGA.

**SG**: Pm, No. 6
**VASP energy**: -5.345 eV per atom
**Energy relative to the lowest polymorph listed for this composition**: 95 meV per atom

Cell lengths 2.793, 4.180, 5.316 Å; angles 90.00, 104.97, 90.00 degrees
Fractional coordinates of all 4 atoms:
Fe  0.000  0.000  0.000
Co  0.876  0.500  0.763
Au  0.268  0.000  0.540
Au  0.610  0.500  0.224

FeCoAu: relaxed, PBE-GGA.

**SG**: I4mm, No. 107
**VASP energy**: -6.177 eV per atom
**Energy relative to the lowest polymorph listed for this composition**: 0 meV per atom

Cell lengths 5.032, 5.032, 5.032 Å; angles 145.20, 145.20, 50.03 degrees
Fractional coordinates of all 3 atoms:
Fe  0.000  0.000  0.000
Co  0.625  0.625  0.000
Au  0.313  0.313  0.000

Fe4CoAu: relaxed, PBE-GGA.

**SG**: F-43m, No. 216
**VASP energy**: -7.205 eV per atom

Cell lengths 4.740, 4.740, 4.740 Å; angles 60.00, 60.00, 60.00 degrees
Fractional coordinates of all 6 atoms:
Fe  0.125  0.125  0.125
Fe  0.125  0.125  0.624
Fe  0.125  0.624  0.125
Fe  0.624  0.125  0.125
Co  0.500  0.500  0.500
Au  0.750  0.750  0.750

FeCoAu2: relaxed, PBE-GGA.

**SG**: P4/mmm, No. 123
**VASP energy**: -5.304 eV per atom
**Energy relative to the lowest polymorph listed for this composition**: 137 meV per atom

Cell lengths 2.802, 2.802, 7.634 Å; angles 90.00, 90.00, 90.00 degrees
Fractional coordinates of all 4 atoms:
Fe  0.000  0.000  0.000
Co  0.000  0.000  0.500
Au  0.500  0.500  0.252
Au  0.500  0.500  0.748

FeCoAu3: relaxed, PBE-GGA.

**SG**: Pm-3m, No. 221
**VASP energy**: -3.993 eV per atom
**Energy relative to the lowest polymorph listed for this composition**: 0 meV per atom

Cell lengths 4.736, 4.736, 4.736 Å; angles 90.00, 90.00, 90.00 degrees
Fractional coordinates of all 5 atoms:
Fe  0.000  0.000  0.000
Co  0.500  0.500  0.500
Au  0.000  0.500  0.500
Au  0.500  0.000  0.500
Au  0.500  0.500  0.000

FeCo2Au: relaxed, PBE-GGA.

**SG**: I-4m2, No. 119
**VASP energy**: -6.367 eV per atom
**Energy relative to the lowest polymorph listed for this composition**: 14 meV per atom

Cell lengths 4.572, 4.572, 4.572 Å; angles 131.91, 131.91, 70.36 degrees
Fractional coordinates of all 4 atoms:
Fe  0.000  0.000  0.000
Co  0.250  0.750  0.500
Co  0.500  0.500  0.000
Au  0.750  0.250  0.500

FeCo2Au: relaxed, PBE-GGA.

**SG**: Pmm2, No. 25
**VASP energy**: -6.381 eV per atom
**Energy relative to the lowest polymorph listed for this composition**: 0 meV per atom

Cell lengths 2.736, 3.503, 5.469 Å; angles 90.00, 90.00, 90.00 degrees
Fractional coordinates of all 4 atoms:
Fe  0.000  0.000  0.000
Co  0.000  0.000  0.576
Co  0.500  0.500  0.777
Au  0.500  0.500  0.287

FeCo2Au: relaxed, PBE-GGA.

**SG**: Fm-3m, No. 225
**VASP energy**: -6.288 eV per atom
**Energy relative to the lowest polymorph listed for this composition**: 94 meV per atom

Cell lengths 4.199, 4.199, 4.199 Å; angles 60.00, 60.00, 60.00 degrees
Fractional coordinates of all 4 atoms:
Fe  0.000  0.000  0.000
Co  0.250  0.250  0.250
Co  0.750  0.750  0.750
Au  0.500  0.500  0.500

FeCoAu2: relaxed, PBE-GGA.

**SG**: Fm-3m, No. 225
**VASP energy**: -5.010 eV per atom
**Energy relative to the lowest polymorph listed for this composition**: 431 meV per atom

Cell lengths 4.347, 4.347, 4.347 Å; angles 60.00, 60.00, 60.00 degrees
Fractional coordinates of all 4 atoms:
Fe  0.000  0.000  0.000
Co  0.500  0.500  0.500
Au  0.250  0.250  0.250
Au  0.750  0.750  0.750

FeCo2Au: relaxed, PBE-GGA.

**SG**: F-43m, No. 216
**VASP energy**: -6.245 eV per atom
**Energy relative to the lowest polymorph listed for this composition**: 137 meV per atom

Cell lengths 4.215, 4.215, 4.215 Å; angles 60.00, 60.00, 60.00 degrees
Fractional coordinates of all 4 atoms:
Fe  0.000  0.000  0.000
Co  0.500  0.500  0.500
Co  0.750  0.750  0.750
Au  0.250  0.250  0.250

Q: Which value of VASP energy does entry 2 give?
A: -6.278 eV per atom

Q: Which formula does entry 2 have?
A: FeCo2Au

Q: The lowest VASP energy belongs to which entry?
A: Fe4CoAu

Q: What is the VASP energy in the eleventh record?
A: -5.010 eV per atom